Record 1
# LiSc | Alexandria via LeMat-Bulk | GGA-PBE | optimized geometry
data_LiSc
_cell_length_a 5.597
_cell_length_b 5.597
_cell_length_c 5.524
_cell_angle_alpha 90.00
_cell_angle_beta 90.00
_cell_angle_gamma 90.00
_symmetry_space_group_name_H-M 'P 42/m n m'
_symmetry_Int_Tables_number 136
_symmetry_space_group_name_Hall '-P 4n 2n'
loop_
_atom_site_label
_atom_site_type_symbol
_atom_site_fract_x
_atom_site_fract_y
_atom_site_fract_z
Li1 Li 0.175 0.175 0.000
Sc1 Sc 0.193 0.193 0.500
# - Excess energy over the best structure of this formula in the dataset: 0.349 eV/atom
# - Energy relative to the elements: 0.881 eV per formula unit


Record 2
# LiLa2RhPb | Alexandria via LeMat-Bulk | GGA-PBE | optimized geometry
data_LiLa2RhPb
_cell_length_a 5.493
_cell_length_b 5.493
_cell_length_c 4.808
_cell_angle_alpha 90.00
_cell_angle_beta 90.00
_cell_angle_gamma 90.00
_symmetry_space_group_name_H-M 'P 4/m m m'
_symmetry_Int_Tables_number 123
_symmetry_space_group_name_Hall '-P 4 2'
loop_
_atom_site_label
_atom_site_type_symbol
_atom_site_fract_x
_atom_site_fract_y
_atom_site_fract_z
Li1 Li 0.000 0.000 0.000
La1 La 0.000 0.500 0.500
Rh1 Rh 0.000 0.000 0.500
Pb1 Pb 0.500 0.500 0.000
# - Energy relative to the elements: -2.311 eV per formula unit


Record 3
# KCaTlSn | Alexandria via LeMat-Bulk | GGA-PBE | optimized geometry
data_KCaTlSn
_cell_length_a 8.026
_cell_length_b 8.026
_cell_length_c 8.026
_cell_angle_alpha 90.00
_cell_angle_beta 90.00
_cell_angle_gamma 90.00
_symmetry_space_group_name_H-M 'F -4 3 m'
_symmetry_Int_Tables_number 216
_symmetry_space_group_name_Hall 'F -4 2 3'
loop_
_atom_site_label
_atom_site_type_symbol
_atom_site_fract_x
_atom_site_fract_y
_atom_site_fract_z
K1 K 0.000 0.000 0.000
Ca1 Ca 0.000 0.000 0.500
Tl1 Tl 0.250 0.250 0.250
Sn1 Sn 0.250 0.250 0.750
# - Energy relative to the elements: -1.046 eV per formula unit


Record 4
# K2SrScTc | Alexandria via LeMat-Bulk | GGA-PBE | optimized geometry
data_K2SrScTc
_cell_length_a 6.569
_cell_length_b 6.569
_cell_length_c 6.033
_cell_angle_alpha 90.00
_cell_angle_beta 90.00
_cell_angle_gamma 90.00
_symmetry_space_group_name_H-M 'P 4/m m m'
_symmetry_Int_Tables_number 123
_symmetry_space_group_name_Hall '-P 4 2'
loop_
_atom_site_label
_atom_site_type_symbol
_atom_site_fract_x
_atom_site_fract_y
_atom_site_fract_z
K1 K 0.000 0.500 0.000
Sr1 Sr 0.000 0.000 0.000
Sc1 Sc 0.000 0.000 0.500
Tc1 Tc 0.500 0.500 0.500
# - Energy relative to the elements: 9.679 eV per formula unit


Record 5
# Na2Ga2Br | Alexandria via LeMat-Bulk | GGA-PBE | optimized geometry
data_Na2Ga2Br
_cell_length_a 8.486
_cell_length_b 8.486
_cell_length_c 3.725
_cell_angle_alpha 90.00
_cell_angle_beta 90.00
_cell_angle_gamma 90.00
_symmetry_space_group_name_H-M 'P 4/m b m'
_symmetry_Int_Tables_number 127
_symmetry_space_group_name_Hall '-P 4 2ab'
loop_
_atom_site_label
_atom_site_type_symbol
_atom_site_fract_x
_atom_site_fract_y
_atom_site_fract_z
Na1 Na 0.195 0.305 0.000
Ga1 Ga 0.104 0.604 0.500
Br1 Br 0.000 0.000 0.500
# - Excess energy over the best structure of this formula in the dataset: 0.000 eV/atom
# - Formation energy (no corrections): -0.19 eV/atom


Record 6
# Li2GaMoW | Alexandria via LeMat-Bulk | GGA-PBE | optimized geometry
data_Li2GaMoW
_cell_length_a 4.766
_cell_length_b 4.766
_cell_length_c 4.594
_cell_angle_alpha 90.00
_cell_angle_beta 90.00
_cell_angle_gamma 90.00
_symmetry_space_group_name_H-M 'P 4/m m m'
_symmetry_Int_Tables_number 123
_symmetry_space_group_name_Hall '-P 4 2'
loop_
_atom_site_label
_atom_site_type_symbol
_atom_site_fract_x
_atom_site_fract_y
_atom_site_fract_z
Li1 Li 0.000 0.500 0.000
Ga1 Ga 0.000 0.000 0.500
Mo1 Mo 0.500 0.500 0.000
W1 W 0.500 0.500 0.500
# - Energy relative to the elements: 6.982 eV per formula unit


Record order is preserved below.
Final energy: -3.682 -5.028 -2.629 -2.179 -2.260 -4.731 eV/atom
Record order is preserved below.
V: 21.63 29.02 32.31 52.07 26.83 20.87 Å³ per atom